No. 1
A plane-wave DFT calculation with GGA-PBE was carried out for an optimized crystal structure of CaZn5Au2.

## Properties
Calculated total energy: -34.795 eV for the cell shown

Geometry as CIF:
```
data_CaZn5Au2
_chemical_formula_sum 'Ca2 Zn10 Au4'
_cell_length_a 4.018
_cell_length_b 7.580
_cell_length_c 9.975
_cell_angle_alpha 90.00
_cell_angle_beta 90.00
_cell_angle_gamma 90.00
_symmetry_space_group_name_H-M 'I m m m'
_symmetry_Int_Tables_number 71
_symmetry_space_group_name_Hall '-I 2 2'
loop_
_atom_site_label
_atom_site_type_symbol
_atom_site_fract_x
_atom_site_fract_y
_atom_site_fract_z
_atom_site_occupancy
Ca1 Ca 0.000 0.000 0.000 1
Zn1 Zn 0.000 0.185 0.363 1
Zn2 Zn 0.000 0.500 0.000 1
Au1 Au 0.000 0.500 0.261 1
```

=====

No. 2
A plane-wave DFT calculation with GGA-PBE was carried out for an optimized crystal structure of KCuTcCl6.

## Properties
Raw formation energy: -0.925 eV per atom

Geometry as CIF:
```
data_KCuTcCl6
_chemical_formula_sum 'K2 Cu2 Tc2 Cl12'
_cell_length_a 6.4493
_cell_length_b 6.4493
_cell_length_c 13.8718
_cell_angle_alpha 90.00
_cell_angle_beta 90.00
_cell_angle_gamma 120.00
_symmetry_space_group_name_H-M 'P -3 1 c'
_symmetry_Int_Tables_number 163
_symmetry_space_group_name_Hall '-P 3 2c'
loop_
_atom_site_label
_atom_site_type_symbol
_atom_site_fract_x
_atom_site_fract_y
_atom_site_fract_z
_atom_site_occupancy
K1 K 0.0000 0.0000 0.0000 1
Cu1 Cu 0.3333 0.6667 0.2500 1
Tc1 Tc 0.3333 0.6667 0.7500 1
Cl1 Cl 0.0161 0.3779 0.6520 1
```

=====

No. 3
A plane-wave DFT calculation with GGA-PBE was carried out for an optimized crystal structure of Ta2CrAg.

## Properties
Relative energy among the computed polymorphs: 161.8 meV per atom

Geometry as CIF:
```
data_Ta2CrAg
_chemical_formula_sum 'Ta4 Cr2 Ag2'
_cell_length_a 6.294
_cell_length_b 6.301
_cell_length_c 3.309
_cell_angle_alpha 90.00
_cell_angle_beta 90.00
_cell_angle_gamma 90.00
_symmetry_space_group_name_H-M 'C m m m'
_symmetry_Int_Tables_number 65
_symmetry_space_group_name_Hall '-C 2 2'
loop_
_atom_site_label
_atom_site_type_symbol
_atom_site_fract_x
_atom_site_fract_y
_atom_site_fract_z
_atom_site_occupancy
Ta1 Ta 0.250 0.250 0.000 1
Cr1 Cr 0.000 0.000 0.500 1
Ag1 Ag 0.000 0.500 0.500 1
```

=====

No. 4
A plane-wave DFT calculation with GGA-PBE was carried out for an optimized crystal structure of K2Sn3Sb2S10.

## Properties
Raw formation energy: -0.554 eV per atom

Geometry as CIF:
```
data_K2Sn3Sb2S10
_chemical_formula_sum 'K4 Sn6 Sb4 S20'
_cell_length_a 6.975
_cell_length_b 13.509
_cell_length_c 11.898
_cell_angle_alpha 90.00
_cell_angle_beta 117.58
_cell_angle_gamma 90.00
_symmetry_space_group_name_H-M 'P 1 21/c 1'
_symmetry_Int_Tables_number 14
_symmetry_space_group_name_Hall '-P 2ybc'
loop_
_atom_site_label
_atom_site_type_symbol
_atom_site_fract_x
_atom_site_fract_y
_atom_site_fract_z
_atom_site_occupancy
K1 K 0.083 0.173 0.184 1
Sn1 Sn 0.000 0.000 0.500 1
Sn2 Sn 0.384 0.048 0.844 1
Sb1 Sb 0.487 0.151 0.592 1
S1 S 0.004 0.547 0.788 1
S2 S 0.094 0.179 0.469 1
S3 S 0.411 0.101 0.055 1
S4 S 0.419 0.526 0.129 1
S5 S 0.450 0.697 0.688 1
```

=====

No. 5
A plane-wave DFT calculation with GGA-PBE was carried out for an optimized crystal structure of CaAsH3O5.

## Properties
Calculated total energy: -460.753 eV for the cell shown

Geometry as CIF:
```
data_CaAsH3O5
_chemical_formula_sum 'Ca8 As8 H24 O40'
_cell_length_a 7.040
_cell_length_b 7.986
_cell_length_c 16.340
_cell_angle_alpha 90.00
_cell_angle_beta 90.00
_cell_angle_gamma 90.00
_symmetry_space_group_name_H-M 'P b c n'
_symmetry_Int_Tables_number 60
_symmetry_space_group_name_Hall '-P 2n 2ab'
loop_
_atom_site_label
_atom_site_type_symbol
_atom_site_fract_x
_atom_site_fract_y
_atom_site_fract_z
_atom_site_occupancy
Ca1 Ca 0.128 0.185 0.046 1
As1 As 0.129 0.439 0.890 1
H1 H 0.086 0.120 0.649 1
H2 H 0.176 0.016 0.212 1
H3 H 0.182 0.234 0.317 1
O1 O 0.038 0.299 0.577 1
O2 O 0.048 0.366 0.368 1
O3 O 0.123 0.002 0.657 1
O4 O 0.202 0.063 0.467 1
O5 O 0.228 0.358 0.798 1
```

=====

No. 6
A plane-wave DFT calculation with GGA-PBE was carried out for an optimized crystal structure of Li2CuPd.

## Properties
Calculated total energy: -27.731 eV for the cell shown

Geometry as CIF:
```
data_Li2CuPd
_chemical_formula_sum 'Li4 Cu2 Pd2'
_cell_length_a 4.755
_cell_length_b 2.750
_cell_length_c 8.576
_cell_angle_alpha 90.00
_cell_angle_beta 100.46
_cell_angle_gamma 90.00
_symmetry_space_group_name_H-M 'C 1 m 1'
_symmetry_Int_Tables_number 8
_symmetry_space_group_name_Hall 'C -2y'
loop_
_atom_site_label
_atom_site_type_symbol
_atom_site_fract_x
_atom_site_fract_y
_atom_site_fract_z
_atom_site_occupancy
Li1 Li 0.000 0.000 0.000 1
Li2 Li 0.167 0.000 0.503 1
Cu1 Cu 0.417 0.000 0.252 1
Pd1 Pd 0.084 0.500 0.751 1
```

=====

No. 7
A plane-wave DFT calculation with GGA-PBE was carried out for an optimized crystal structure of TcRu2Se.

## Properties
Raw formation energy: 0.240 eV per atom

Geometry as CIF:
```
data_TcRu2Se
_chemical_formula_sum 'Tc3 Ru6 Se3'
_cell_length_a 2.8478
_cell_length_b 2.8478
_cell_length_c 25.1847
_cell_angle_alpha 90.00
_cell_angle_beta 90.00
_cell_angle_gamma 120.00
_symmetry_space_group_name_H-M 'R -3 m'
_symmetry_Int_Tables_number 166
_symmetry_space_group_name_Hall '-R 3 2"'
loop_
_atom_site_label
_atom_site_type_symbol
_atom_site_fract_x
_atom_site_fract_y
_atom_site_fract_z
_atom_site_occupancy
Tc1 Tc 0.0000 0.0000 0.0000 1
Ru1 Ru 0.0000 0.0000 0.2485 1
Se1 Se 0.0000 0.0000 0.5000 1
```

=====

No. 8
A plane-wave DFT calculation with GGA-PBE was carried out for an optimized crystal structure of LaMnCrIn2.

## Properties
Calculated total energy: -28.402 eV for the cell shown

Geometry as CIF:
```
data_LaMnCrIn2
_chemical_formula_sum 'La1 Mn1 Cr1 In2'
_cell_length_a 5.076
_cell_length_b 5.076
_cell_length_c 4.590
_cell_angle_alpha 90.00
_cell_angle_beta 90.00
_cell_angle_gamma 90.00
_symmetry_space_group_name_H-M 'P 4/m m m'
_symmetry_Int_Tables_number 123
_symmetry_space_group_name_Hall '-P 4 2'
loop_
_atom_site_label
_atom_site_type_symbol
_atom_site_fract_x
_atom_site_fract_y
_atom_site_fract_z
_atom_site_occupancy
La1 La 0.000 0.000 0.000 1
Mn1 Mn 0.500 0.500 0.500 1
Cr1 Cr 0.500 0.500 0.000 1
In1 In 0.000 0.500 0.500 1
```

=====

No. 9
A plane-wave DFT calculation with GGA-PBE was carried out for an optimized crystal structure of YTcN3.

## Properties
Raw formation energy: -0.389 eV per atom

Geometry as CIF:
```
data_YTcN3
_chemical_formula_sum 'Y1 Tc1 N3'
_cell_length_a 3.763
_cell_length_b 4.420
_cell_length_c 3.459
_cell_angle_alpha 90.00
_cell_angle_beta 90.00
_cell_angle_gamma 90.00
_symmetry_space_group_name_H-M 'P m m 2'
_symmetry_Int_Tables_number 25
_symmetry_space_group_name_Hall 'P 2 -2'
loop_
_atom_site_label
_atom_site_type_symbol
_atom_site_fract_x
_atom_site_fract_y
_atom_site_fract_z
_atom_site_occupancy
Y1 Y 0.000 0.000 0.000 1
Tc1 Tc 0.500 0.500 0.582 1
N1 N 0.183 0.500 0.078 1
N2 N 0.500 0.000 0.556 1
```

=====

No. 10
A plane-wave DFT calculation with GGA-PBE was carried out for an optimized crystal structure of Tl3C4.

## Properties
Relative energy among the computed polymorphs: 816.3 meV per atom

Geometry as CIF:
```
data_Tl3C4
_chemical_formula_sum 'Tl3 C4'
_cell_length_a 5.441
_cell_length_b 5.441
_cell_length_c 5.441
_cell_angle_alpha 90.00
_cell_angle_beta 90.00
_cell_angle_gamma 90.00
_symmetry_space_group_name_H-M 'P -4 3 m'
_symmetry_Int_Tables_number 215
_symmetry_space_group_name_Hall 'P -4 2 3'
loop_
_atom_site_label
_atom_site_type_symbol
_atom_site_fract_x
_atom_site_fract_y
_atom_site_fract_z
_atom_site_occupancy
Tl1 Tl 0.000 0.000 0.500 1
C1 C 0.209 0.209 0.209 1
```